PmSm3Ir after structural relaxation, computed with PBE.

D(E_F) = 19.36 states/eV/cell
energy relative to the elements = -0.28 eV/atom
polymorph energy (0 for the lowest one) = 0.009 eV/atom
magnetization = 0.0 μB per formula unit

a b c (Å): 4.945 12.441 9.998
angles (deg): 90.00 90.00 90.00
Space group Cmcm (No. 63)
Asymmetric unit:
Pm1 0.000 0.136 0.250 [4 per cell]
Sm1 0.000 0.135 0.750 [4 per cell]
Sm2 0.000 0.366 0.000 [8 per cell]
Ir1 0.000 0.499 0.250 [4 per cell]

=====

Pm2Sm2Ir3 after structural relaxation, computed with PBE.

D(E_F) = 7.95 states/eV/cell
energy relative to the elements = -0.53 eV/atom
polymorph energy (0 for the lowest one) = 0.130 eV/atom
magnetization = 0.0 μB per formula unit

a b c (Å): 13.460 4.184 7.231
angles (deg): 90.00 102.10 90.00
Space group C2/m (No. 12)
Asymmetric unit:
Pm1 0.126 0.000 0.398 [4 per cell]
Sm1 0.144 0.500 0.851 [4 per cell]
Ir1 0.000 0.500 0.500 [2 per cell]
Ir2 0.232 0.500 0.242 [4 per cell]

=====

PmSm2Ir after structural relaxation, computed with PBE.

D(E_F) = 20.45 states/eV/cell
energy relative to the elements = -0.45 eV/atom
polymorph energy (0 for the lowest one) = 0.037 eV/atom
magnetization = 0.0 μB per formula unit

a b c (Å): 3.927 12.194 9.601
angles (deg): 90.00 90.00 90.00
Space group Cmcm (No. 63)
Asymmetric unit:
Pm1 0.000 0.078 0.250 [4 per cell]
Sm1 0.000 0.359 0.067 [8 per cell]
Ir1 0.000 0.243 0.750 [4 per cell]

=====

Pm3SmIr3 after structural relaxation, computed with PBE.

D(E_F) = 21.15 states/eV/cell
energy relative to the elements = -0.60 eV/atom
polymorph energy (0 for the lowest one) = 0.000 eV/atom
magnetization = 0.0 μB per formula unit

a b c (Å): 8.6328 8.6328 17.1839
angles (deg): 90.00 90.00 120.00
Space group R-3 (No. 148, hexagonal axes)
Asymmetric unit:
Pm1 0.0156 0.7317 0.1012 [18 per cell]
Sm1 0.0000 0.0000 0.3264 [6 per cell]
Ir1 0.0071 0.6307 0.9360 [18 per cell]

=====

What is the formula in the third record? PmSm2Ir